Entry 1:
Compound: RbCaCd2Pt
Source: Alexandria via LeMat-Bulk
Functional: PBE-GGA
Structure: optimized geometry

volume	39.03	Å³ per atom
symmetry	No. 123
ΔH_f (0 K)	174	meV/atom
relative energy among the computed polymorphs	486.6	meV per atom

a = 6.075 Å, b = 5.287 Å, c = 6.075 Å
α = 90.00°, β = 90.00°, γ = 90.00°
Sites, in units of the cell vectors:
1 Ca 0.000 0.000 0.000
2 Rb 0.500 0.500 0.500
3 Pt 0.000 0.500 0.000
4 Cd 0.000 0.000 0.500
5 Cd 0.500 0.000 0.000

---

Entry 2:
Compound: Tm3ZnSn2
Source: Alexandria via LeMat-Bulk
Functional: PBE-GGA
Structure: optimized geometry

volume	24.96	Å³ per atom
symmetry	No. 15
ΔH_f (0 K)	-457	meV/atom

a = 6.175 Å, b = 6.309 Å, c = 8.457 Å
α = 101.58°, β = 111.41°, γ = 90.00°
Sites, in units of the cell vectors:
1 Tm 0.653 0.250 0.000
2 Tm 0.347 0.750 0.000
3 Tm 0.273 0.099 0.337
4 Tm 0.936 0.401 0.663
5 Tm 0.064 0.599 0.337
6 Tm 0.727 0.901 0.663
7 Zn 0.867 0.750 0.000
8 Zn 0.133 0.250 0.000
9 Sn 0.557 0.547 0.318
10 Sn 0.761 0.047 0.318
11 Sn 0.239 0.953 0.682
12 Sn 0.443 0.453 0.682